Tc2SbTe (GGA-PBE, relaxed); calculated volume = 18.39 Å³/atom; total DFT energy (no corrections) = -6.664 eV per atom; relative energy among the computed polymorphs = 0.2242 eV/atom; formation energy (no corrections) = 0.33 eV per atom; ρ = 10.054 g/cm3
1.0
1.610 0.929 8.195
-1.610 0.929 8.195
0.000 -1.859 8.195
Tc Sb Te
2 1 1
direct
0.249 0.249 0.249
0.751 0.751 0.751
0.000 0.000 0.000
0.500 0.500 0.500